# 1
This record from Alexandria describes a relaxed structure of BiRh2Pb2. The functional is PBE-GGA.

a = 5.3052 Å, b = 6.8790 Å, c = 7.6333 Å
α = 113.06°, β = 90.00°, γ = 112.68°
With the nearest neighbours (Å) after each atom.
Element x y z (fractional)
Bi (0.3524, 0.7047, 0.8717)  3 Rh 2.79-2.94
Bi (0.6476, 0.2953, 0.1283)  3 Rh 2.79-2.94
Rh (0.1269, 0.2538, 0.5536)  5 Pb 2.71-2.90, 1 Bi 2.86, 1 Rh 2.97
Rh (0.8731, 0.7462, 0.4464)  5 Pb 2.71-2.90, 1 Bi 2.86, 1 Rh 2.97
Rh (0.4892, 0.9784, 0.2933)  4 Pb 2.78-2.86, 2 Bi 2.79-2.94, 1 Rh 3.05
Rh (0.5108, 0.0216, 0.7067)  4 Pb 2.78-2.86, 2 Bi 2.79-2.94, 1 Rh 3.05
Pb (0.7060, 0.4119, 0.6125)  5 Rh 2.80-2.90
Pb (0.2940, 0.5881, 0.3875)  5 Rh 2.80-2.90
Pb (0.0440, 0.0880, 0.8279)  4 Rh 2.71-2.80
Pb (0.9560, 0.9120, 0.1721)  4 Rh 2.71-2.80

Formation enthalpy at 0 K   0.20 eV per formula unit
Calculated total energy   -5.160 eV per atom
Crystal system   monoclinic


# 2
This record from Alexandria describes a relaxed structure of As4W. The functional is PBE-GGA.

a = 4.9460 Å, b = 4.9460 Å, c = 4.9460 Å
α = 101.95°, β = 101.95°, γ = 125.86°
With the nearest neighbours (Å) after each atom.
Element x y z (fractional)
As (0.7859, 0.6155, 0.4014)  5 As 2.72-3.03, 3 W 2.74-2.96
As (0.3845, 0.7859, 0.1704)  5 As 2.72-3.03, 3 W 2.74-2.96
As (0.2141, 0.3845, 0.5986)  5 As 2.72-3.03, 3 W 2.74-2.96
As (0.6155, 0.2141, 0.8296)  5 As 2.72-3.03, 3 W 2.74-2.96
W (0.0000, 0.0000, 0.0000)  12 As 2.74-2.96

Formation enthalpy at 0 K   2.31 eV per formula unit
Calculated total energy   -5.848 eV per atom
Crystal system   tetragonal


# 3
This record from Alexandria describes a relaxed structure of NaCeNO. The functional is PBE-GGA.

a = 3.8256 Å, b = 3.8256 Å, c = 9.5082 Å
α = 78.39°, β = 78.39°, γ = 60.00°
With the nearest neighbours (Å) after each atom.
Element x y z (fractional)
Na (0.8026, 0.8026, 0.5921)  4 O 2.34-2.48
Na (0.1974, 0.1974, 0.4079)  4 O 2.34-2.48
Ce (0.6143, 0.6143, 0.1572)  4 N 2.28-2.33
Ce (0.3857, 0.3857, 0.8428)  4 N 2.28-2.33
N (0.6981, 0.6981, 0.9056)  4 Ce 2.28-2.33
N (0.3019, 0.3019, 0.0944)  4 Ce 2.28-2.33
O (0.1079, 0.1079, 0.6764)  4 Na 2.34-2.48
O (0.8921, 0.8921, 0.3236)  4 Na 2.34-2.48

Calculated total energy   -6.847 eV per atom
Crystal system   trigonal
Formation energy (no corrections)   -1.7129 eV/atom


# 4
This record from Alexandria describes a relaxed structure of HfAs2Ru2. The functional is PBE-GGA.

a = 7.3296 Å, b = 7.3296 Å, c = 2.9658 Å
α = 90.00°, β = 90.00°, γ = 90.00°
With the nearest neighbours (Å) after each atom.
Element x y z (fractional)
Ru (0.1438, 0.6438, 0.5000)  6 As 2.57-2.64
Ru (0.6438, 0.8562, 0.5000)  6 As 2.57-2.64
Ru (0.8562, 0.3562, 0.5000)  6 As 2.57-2.64
Ru (0.3562, 0.1438, 0.5000)  6 As 2.57-2.64
As (0.3465, 0.8465, 0.0000)  6 Ru 2.57-2.64, 2 Hf 2.78
As (0.8465, 0.6535, 0.0000)  6 Ru 2.57-2.64, 2 Hf 2.78
As (0.6535, 0.1535, 0.0000)  6 Ru 2.57-2.64, 2 Hf 2.78
As (0.1535, 0.3465, 0.0000)  6 Ru 2.57-2.64, 2 Hf 2.78
Hf (0.0000, 0.0000, 0.0000)  4 As 2.78, 2 Hf 2.97
Hf (0.5000, 0.5000, 0.0000)  4 As 2.78, 2 Hf 2.97

Formation enthalpy at 0 K   -1.14 eV per formula unit
Calculated total energy   -7.789 eV per atom
Crystal system   tetragonal


# 5
This record from Alexandria describes a relaxed structure of Lu2NiGe4. The functional is PBE-GGA.

a = 8.3290 Å, b = 8.3290 Å, c = 4.0181 Å
α = 90.00°, β = 90.00°, γ = 151.99°
With the nearest neighbours (Å) after each atom.
Element x y z (fractional)
Lu (0.1057, 0.8943, 0.0000)  10 Ge 2.95-3.11
Lu (0.8955, 0.1045, 0.5000)  10 Ge 3.03-3.32, 4 Ni 3.12
Ni (0.3168, 0.6832, 0.0000)  5 Ge 2.30-2.36
Ge (0.4591, 0.5409, 0.0000)  1 Ni 2.30, 2 Ge 2.57
Ge (0.5586, 0.4414, 0.5000)  2 Ge 2.57
Ge (0.7403, 0.2597, 0.0000)  2 Ni 2.36
Ge (0.2410, 0.7590, 0.5000)  2 Ni 2.35

Formation enthalpy at 0 K   -4.29 eV per formula unit
Calculated total energy   -5.369 eV per atom
Crystal system   orthorhombic


# 6
This record from Alexandria describes a relaxed structure of LiSnS. The functional is PBE-GGA.

a = 4.7012 Å, b = 4.7012 Å, c = 3.6386 Å
α = 90.00°, β = 90.00°, γ = 120.00°
With the nearest neighbours (Å) after each atom.
Element x y z (fractional)
S (0.3333, 0.6667, 0.0000)  3 Sn 2.71
Sn (0.0000, 0.0000, 0.0000)  3 S 2.71
Li (0.6667, 0.3333, 0.5000)  6 S 3.27, 6 Sn 3.27, 2 Li 3.64

Calculated total energy   -3.581 eV per atom
Crystal system   hexagonal
Formation energy (no corrections)   -0.2326 eV/atom